VASP calculation (PBE-GGA) on an optimized crystal structure of Ac2NpAuSe5.

```
Ac2NpAuSe5
1.0
-4.243 -0.489 -0.333
3.297 -5.008 -7.083
0.596 -10.330 7.580
Np Se Ac Au
2 10 4 2
Direct
0.189 0.378 0.009
0.811 0.622 0.509
0.297 0.593 0.665
0.500 0.001 0.766
0.500 0.999 0.266
0.040 0.079 0.069
0.698 0.397 0.850
0.353 0.705 0.005
0.703 0.407 0.165
0.647 0.295 0.505
0.960 0.921 0.569
0.302 0.603 0.350
0.119 0.238 0.690
0.122 0.245 0.315
0.881 0.762 0.190
0.878 0.755 0.815
0.453 0.905 0.455
0.547 0.095 0.955
```

Results
Formation energy from raw total energies in eV/f.u.: -12.861
Fermi-level density of states in states/eV per cell: 16.00